# 1
DFT (SCAN) results for a PBEsol-optimized structure of MnAu2.

Output
- D(E_F): 2.7 states/eV per cell
- Energy of formation: -0.339 eV per atom
- Electronic total energy: -315.17 eV per cell

Cell and atoms, written as POSCAR:
```
MnAu2
1.0
4.5135 0.0000 0.0000
-2.2568 3.9088 0.0000
0.0000 0.0000 5.4856
Mn Au
2 4
Direct
0.3333 0.6667 0.2500
0.6667 0.3333 0.7500
0.0000 0.0000 0.0000
0.0000 0.0000 0.5000
0.3333 0.6667 0.7500
0.6667 0.3333 0.2500
```


# 2
DFT (SCAN) results for a PBEsol-optimized structure of BiI3.

Output
- D(E_F): 0.0 states/eV per cell
- Formation energy without anion corrections: -8.47 kcal/mol of atoms
- Electronic total energy: -761.09 eV per cell

Cell and atoms, written as POSCAR:
```
BiI3
1.0
7.6121 0.0000 0.0000
0.0000 12.7086 0.0000
0.0000 0.0000 7.3443
Bi I
4 12
Direct
0.0466 0.2500 0.2499
0.4534 0.7500 0.7499
0.5466 0.2500 0.2501
0.9534 0.7500 0.7501
0.2034 0.5846 0.5857
0.2029 0.7500 0.0804
0.2034 0.9154 0.5857
0.2966 0.0846 0.0857
0.2971 0.2500 0.5804
0.2966 0.4154 0.0857
0.7034 0.5846 0.9143
0.7029 0.7500 0.4196
0.7034 0.9154 0.9143
0.7966 0.0846 0.4143
0.7971 0.2500 0.9196
0.7966 0.4154 0.4143
```


# 3
DFT (SCAN) results for a PBEsol-optimized structure of TaCo2Au.

Output
- D(E_F): 0.7 states/eV per cell
- Energy of formation: -0.034 eV per atom
- Electronic total energy: -170.49 eV per cell

Cell and atoms, written as POSCAR:
```
TaCo2Au
1.0
3.9100 0.0000 0.0000
0.0000 3.9100 0.0000
0.0000 0.0000 3.4511
Ta Co Au
1 2 1
Direct
0.0000 0.0000 0.0000
0.0000 0.5000 0.5000
0.5000 0.0000 0.5000
0.5000 0.5000 0.0000
```


# 4
DFT (SCAN) results for a PBEsol-optimized structure of CsBaCd2.

Output
- D(E_F): 4.8 states/eV per cell
- Energy of formation: -0.067 eV per atom
- Electronic total energy: -138.46 eV per cell

Cell and atoms, written as POSCAR:
```
CsBaCd2
1.0
0.0000 4.2681 4.2681
4.2681 0.0000 4.2681
4.2681 4.2681 0.0000
Cs Ba Cd
1 1 2
Direct
0.0000 0.0000 0.0000
0.5000 0.5000 0.5000
0.2500 0.2500 0.2500
0.7500 0.7500 0.7500
```


# 5
DFT (SCAN) results for a PBEsol-optimized structure of ScReNi.

Output
- D(E_F): 2.1 states/eV per cell
- Energy of formation: -0.069 eV per atom
- Electronic total energy: -101.72 eV per cell

Cell and atoms, written as POSCAR:
```
ScReNi
1.0
-1.3598 1.3598 5.9332
1.3598 -1.3598 5.9332
1.3598 1.3598 -5.9332
Sc Re Ni
1 1 1
Direct
0.0000 0.0000 0.0000
0.3116 0.3116 0.0000
0.6716 0.6716 0.0000
```


# 6
DFT (SCAN) results for a PBEsol-optimized structure of BaHg2Br.

Output
- D(E_F): 3.2 states/eV per cell
- Formation energy without anion corrections: -22.48 kcal/mol of atoms
- Electronic total energy: -199.24 eV per cell

Cell and atoms, written as POSCAR:
```
BaHg2Br
1.0
-2.5177 2.5177 4.7452
2.5177 -2.5177 4.7452
2.5177 2.5177 -4.7452
Ba Hg Br
1 2 1
Direct
0.0000 0.0000 0.0000
0.2500 0.7500 0.5000
0.5000 0.5000 0.0000
0.7500 0.2500 0.5000
```


# 7
DFT (SCAN) results for a PBEsol-optimized structure of Mn3SiN.

Output
- D(E_F): 3.1 states/eV per cell
- Formation energy without anion corrections: 29.53 kcal/mol of atoms
- Electronic total energy: -67.67 eV per cell

Cell and atoms, written as POSCAR:
```
Mn3SiN
1.0
4.3391 0.0000 0.0000
0.0000 4.3391 0.0000
0.0000 0.0000 4.3391
Mn Si N
3 1 1
Direct
0.0000 0.0000 0.5000
0.0000 0.5000 0.0000
0.5000 0.0000 0.0000
0.0000 0.0000 0.0000
0.5000 0.5000 0.5000
```


# 8
DFT (SCAN) results for a PBEsol-optimized structure of CsNa2.

Output
- D(E_F): 6.8 states/eV per cell
- Energy of formation: 0.002 eV per atom
- Electronic total energy: -184.94 eV per cell

Cell and atoms, written as POSCAR:
```
CsNa2
1.0
7.6299 0.0000 0.0000
-3.8150 6.6077 0.0000
0.0000 0.0000 12.7405
Cs Na
4 8
Direct
0.3333 0.6667 0.0623
0.3333 0.6667 0.4377
0.6667 0.3333 0.5623
0.6667 0.3333 0.9377
0.0000 0.0000 0.0000
0.0000 0.0000 0.5000
0.1655 0.3309 0.7500
0.1655 0.8345 0.7500
0.3309 0.1655 0.2500
0.6691 0.8345 0.7500
0.8345 0.1655 0.2500
0.8345 0.6691 0.2500
```


# 9
DFT (SCAN) results for a PBEsol-optimized structure of P2IrAu.

Output
- D(E_F): 2.7 states/eV per cell
- Energy of formation: 0.639 eV per atom
- Electronic total energy: -158.50 eV per cell

Cell and atoms, written as POSCAR:
```
P2IrAu
1.0
-1.8621 1.8621 4.2207
1.8621 -1.8621 4.2207
1.8621 1.8621 -4.2207
P Ir Au
2 1 1
Direct
0.0000 0.0000 0.0000
0.7500 0.2500 0.5000
0.2500 0.7500 0.5000
0.5000 0.5000 0.0000
```


# 10
DFT (SCAN) results for a PBEsol-optimized structure of YZnHgW2.

Output
- D(E_F): 4.1 states/eV per cell
- Energy of formation: 2.678 eV per atom
- Electronic total energy: -235.51 eV per cell

Cell and atoms, written as POSCAR:
```
YZnHgW2
1.0
4.8412 0.0000 0.0000
0.0000 4.8412 0.0000
0.0000 0.0000 4.9879
Y Zn Hg W
1 1 1 2
Direct
0.0000 0.0000 0.0000
0.0000 0.0000 0.5000
0.5000 0.5000 0.5000
0.0000 0.5000 0.0000
0.5000 0.0000 0.0000
```


# 11
DFT (SCAN) results for a PBEsol-optimized structure of AgHgTe2.

Output
- D(E_F): 1.9 states/eV per cell
- Formation energy without anion corrections: 3.60 kcal/mol of atoms
- Electronic total energy: -173.41 eV per cell

Cell and atoms, written as POSCAR:
```
AgHgTe2
1.0
1.6421 0.9481 10.6256
-1.6421 0.9481 10.6256
0.0000 -1.8962 10.6256
Ag Hg Te
1 1 2
Direct
0.0000 0.0000 0.0000
0.2656 0.2656 0.2656
0.5156 0.5156 0.5156
0.7373 0.7373 0.7373
```


# 12
DFT (SCAN) results for a PBEsol-optimized structure of Rb2AsPt.

Output
- D(E_F): 2.3 states/eV per cell
- Energy of formation: -0.423 eV per atom
- Electronic total energy: -267.11 eV per cell

Cell and atoms, written as POSCAR:
```
Rb2AsPt
1.0
-6.5189 6.5189 2.3226
6.5189 -6.5189 2.3226
6.5189 6.5189 -2.3226
Rb As Pt
4 2 2
Direct
0.3750 0.1627 0.2877
0.8373 0.1250 0.2123
0.8750 0.0873 0.7123
0.9127 0.6250 0.7877
0.2500 0.7500 0.5000
0.5000 0.5000 0.0000
0.0000 0.0000 0.0000
0.7500 0.2500 0.5000
```


Question: Look up the D(E_F) of the eleventh one.
Answer: 1.9 states/eV per cell